8
Lattice="0.000 4.595 4.595 4.595 0.000 4.595 4.595 4.595 0.000" Properties=species:S:1:pos:R:3 comment="AlIn7, relaxed, DFT PBEsol" e_form_ev_per_atom=0.06 volume_a3_per_cell=194.09 total_magnetization_mub_per_cell=0.00 pbc="T T T"
Al 0.000 0.000 0.000
In 2.298 2.298 0.000
In 2.298 0.000 2.298
In 4.595 2.298 2.298
In 0.000 2.298 2.298
In 2.298 4.595 2.298
In 2.298 2.298 4.595
In 4.595 4.595 4.595